Record 1
# PBE-GGA In5Hg2Pb12, relaxed
# Energy relative to the lowest polymorph listed for this composition: 39 meV/atom
# Uncorrected energy: -115.13 eV per cell
# ΔE_f: 65 meV per atom
data_In5Hg2Pb12
_cell_length_a 18.699
_cell_length_b 6.762
_cell_length_c 9.499
_cell_angle_alpha 90.00
_cell_angle_beta 101.21
_cell_angle_gamma 90.00
_space_group_name_H-M_alt 'C 1 2/m 1'
_space_group_IT_number 12
loop_
_space_group_symop_operation_xyz
'x,y,z'
'-x,-y,-z'
'-x,y,-z'
'x,-y,z'
'x+1/2,y+1/2,z'
'-x+1/2,-y+1/2,-z'
'-x+1/2,y+1/2,-z'
'x+1/2,-y+1/2,z'
loop_
_atom_site_label
_atom_site_type_symbol
_atom_site_fract_x
_atom_site_fract_y
_atom_site_fract_z
In1 In 0.000 0.000 0.000
In2 In 0.127 0.500 0.482
In3 In 0.248 0.000 0.004
Hg1 Hg 0.000 0.233 0.500
Pb1 Pb 0.082 0.500 0.125
Pb2 Pb 0.094 0.000 0.306
Pb3 Pb 0.097 0.251 0.813
Pb4 Pb 0.245 0.256 0.313

Record 2
# PBE-GGA Ba2CaInP, relaxed
# Uncorrected energy: -16.72 eV per cell
# ΔE_f: -545 meV per atom
data_Ba2CaInP
_cell_length_a 6.283
_cell_length_b 6.283
_cell_length_c 5.425
_cell_angle_alpha 90.00
_cell_angle_beta 90.00
_cell_angle_gamma 90.00
_space_group_name_H-M_alt 'P 4/m m m'
_space_group_IT_number 123
_space_group_name_Hall '-P 4 2'
loop_
_atom_site_label
_atom_site_type_symbol
_atom_site_fract_x
_atom_site_fract_y
_atom_site_fract_z
Ba1 Ba 0.000 0.500 0.000
Ca1 Ca 0.000 0.000 0.500
In1 In 0.500 0.500 0.500
P1 P 0.000 0.000 0.000

Record 3
# PBE-GGA BH5Rh6, relaxed
# Uncorrected energy: -67.97 eV per cell
data_BH5Rh6
_cell_length_a 5.047
_cell_length_b 5.047
_cell_length_c 5.060
_cell_angle_alpha 69.98
_cell_angle_beta 80.13
_cell_angle_gamma 60.08
_space_group_name_H-M_alt 'P -1'
_space_group_IT_number 2
loop_
_space_group_symop_operation_xyz
'x,y,z'
'-x,-y,-z'
loop_
_atom_site_label
_atom_site_type_symbol
_atom_site_fract_x
_atom_site_fract_y
_atom_site_fract_z
B1 B 0.000 0.000 0.000
H1 H 0.000 0.500 0.500
H2 H 0.283 0.859 0.500
H3 H 0.351 0.325 0.000
Rh1 Rh 0.000 0.255 0.252
Rh2 Rh 0.338 0.083 0.745
Rh3 Rh 0.338 0.578 0.255

Record 4
# PBE-GGA ErLuCoOs, relaxed
# Uncorrected energy: -113.27 eV per cell
# ΔE_f: -224 meV per atom
data_ErLuCoOs
_cell_length_a 6.651
_cell_length_b 6.651
_cell_length_c 6.651
_cell_angle_alpha 90.00
_cell_angle_beta 90.00
_cell_angle_gamma 90.00
_space_group_name_H-M_alt 'F -4 3 m'
_space_group_IT_number 216
_space_group_name_Hall 'F -4 2 3'
loop_
_atom_site_label
_atom_site_type_symbol
_atom_site_fract_x
_atom_site_fract_y
_atom_site_fract_z
Er1 Er 0.000 0.000 0.000
Lu1 Lu 0.000 0.000 0.500
Co1 Co 0.250 0.250 0.750
Os1 Os 0.250 0.250 0.250

Record 5
# PBE-GGA Ta3SiNi8, relaxed
# Uncorrected energy: -89.84 eV per cell
# Raw formation energy: -0.2175 eV per atom
data_Ta3SiNi8
_cell_length_a 4.7733
_cell_length_b 4.7733
_cell_length_c 7.6924
_cell_angle_alpha 90.00
_cell_angle_beta 90.00
_cell_angle_gamma 120.00
_space_group_name_H-M_alt 'P 3 m 1'
_space_group_IT_number 156
loop_
_space_group_symop_operation_xyz
'x,y,z'
'-y,x-y,z'
'-x+y,-x,z'
'-y,-x,z'
'-x+y,y,z'
'x,x-y,z'
loop_
_atom_site_label
_atom_site_type_symbol
_atom_site_fract_x
_atom_site_fract_y
_atom_site_fract_z
Ta1 Ta 0.0000 0.0000 0.0000
Ta2 Ta 0.0000 0.0000 0.3815
Ta3 Ta 0.3333 0.6667 0.8496
Si1 Si 0.3333 0.6667 0.4683
Ni1 Ni 0.0064 0.5032 0.1860
Ni2 Ni 0.3278 0.1639 0.6877
Ni3 Ni 0.6667 0.3333 0.4377
Ni4 Ni 0.6667 0.3333 0.9392

Record 6
# PBE-GGA Pm3Mg2Sc, relaxed
# Uncorrected energy: -23.99 eV per cell
# ΔE_f: -37 meV per atom
data_Pm3Mg2Sc
_cell_length_a 3.798
_cell_length_b 3.798
_cell_length_c 12.103
_cell_angle_alpha 90.00
_cell_angle_beta 90.00
_cell_angle_gamma 90.00
_space_group_name_H-M_alt 'P 4/m m m'
_space_group_IT_number 123
_space_group_name_Hall '-P 4 2'
loop_
_atom_site_label
_atom_site_type_symbol
_atom_site_fract_x
_atom_site_fract_y
_atom_site_fract_z
Pm1 Pm 0.000 0.000 0.000
Pm2 Pm 0.000 0.000 0.327
Mg1 Mg 0.500 0.500 0.164
Sc1 Sc 0.500 0.500 0.500

- The lowest uncorrected energy belongs to which entry?
  In5Hg2Pb12